A plane-wave DFT calculation with PBE was carried out for crystalline GaCuTc2 at its relaxed geometry.

## Properties
total energy: -6.823 eV/atom

a = 4.2945 Å, b = 4.2945 Å, c = 4.2945 Å
α = 60.00°, β = 60.00°, γ = 60.00°
Closest atoms and distances in Å follow each position.
Fractional coordinates of all 4 atoms:
Tc1 0.0000 0.0000 0.0000  4 Cu 2.63, 4 Tc 2.63
Cu1 0.2500 0.2500 0.2500  4 Tc 2.63, 4 Ga 2.63
Ga1 0.5000 0.5000 0.5000  4 Cu 2.63, 4 Tc 2.63
Tc2 0.7500 0.7500 0.7500  4 Ga 2.63, 4 Tc 2.63



A plane-wave DFT calculation with PBE was carried out for crystalline GaCuTc at its relaxed geometry.

## Properties
total energy: -5.143 eV/atom

a = 4.1571 Å, b = 4.1571 Å, c = 4.1571 Å
α = 60.00°, β = 60.00°, γ = 60.00°
Closest atoms and distances in Å follow each position.
Fractional coordinates of all 3 atoms:
Cu1 0.2500 0.2500 0.2500  4 Tc 2.55
Ga1 0.7500 0.7500 0.7500  4 Tc 2.55
Tc1 0.0000 0.0000 0.0000  4 Cu 2.55, 4 Ga 2.55



A plane-wave DFT calculation with PBE was carried out for crystalline GaCu2Tc at its relaxed geometry.

## Properties
total energy: -5.082 eV/atom

a = 4.2215 Å, b = 4.2215 Å, c = 4.2215 Å
α = 60.00°, β = 60.00°, γ = 60.00°
Closest atoms and distances in Å follow each position.
Fractional coordinates of all 4 atoms:
Cu1 0.7500 0.7500 0.7500  4 Cu 2.59, 4 Ga 2.59
Tc1 0.2500 0.2500 0.2500  4 Ga 2.59, 4 Cu 2.59
Ga1 0.5000 0.5000 0.5000  4 Tc 2.59, 4 Cu 2.59
Cu2 0.0000 0.0000 0.0000  4 Cu 2.59, 4 Tc 2.59



A plane-wave DFT calculation with PBE was carried out for crystalline GaCuTcW at its relaxed geometry.

## Properties
relative energy among the computed polymorphs: 0.0 meV per atom

a = 4.3363 Å, b = 4.3363 Å, c = 4.3363 Å
α = 60.00°, β = 60.00°, γ = 60.00°
Closest atoms and distances in Å follow each position.
Fractional coordinates of all 4 atoms:
Tc1 0.2500 0.2500 0.2500  4 W 2.66, 4 Ga 2.66
Ga1 0.0000 0.0000 0.0000  4 Cu 2.66, 4 Tc 2.66
Cu1 0.7500 0.7500 0.7500  4 W 2.66, 4 Ga 2.66
W1 0.5000 0.5000 0.5000  4 Cu 2.66, 4 Tc 2.66



A plane-wave DFT calculation with PBE was carried out for crystalline YGaCuTc at its relaxed geometry.

## Properties
relative energy among the computed polymorphs: 0.0 meV per atom

a = 4.5874 Å, b = 4.5874 Å, c = 4.5874 Å
α = 60.00°, β = 60.00°, γ = 60.00°
Closest atoms and distances in Å follow each position.
Fractional coordinates of all 4 atoms:
Ga1 0.0000 0.0000 0.0000  4 Tc 2.81, 4 Cu 2.81
Cu1 0.7500 0.7500 0.7500  4 Ga 2.81, 4 Y 2.81
Y1 0.5000 0.5000 0.5000  4 Tc 2.81, 4 Cu 2.81
Tc1 0.2500 0.2500 0.2500  4 Y 2.81, 4 Ga 2.81



A plane-wave DFT calculation with PBE was carried out for crystalline YGaCuTc at its relaxed geometry.

## Properties
relative energy among the computed polymorphs: 265.1 meV per atom

a = 4.6391 Å, b = 4.6391 Å, c = 4.6391 Å
α = 60.00°, β = 60.00°, γ = 60.00°
Closest atoms and distances in Å follow each position.
Fractional coordinates of all 4 atoms:
Tc1 0.5000 0.5000 0.5000  4 Y 2.84, 4 Cu 2.84
Y1 0.2500 0.2500 0.2500  4 Tc 2.84, 4 Ga 2.84
Ga1 0.0000 0.0000 0.0000  4 Y 2.84, 4 Cu 2.84
Cu1 0.7500 0.7500 0.7500  4 Tc 2.84, 4 Ga 2.84